(1)
## U2PaWC4 (PBE)

Data for a geometry-optimized U2PaWC4 structure.

Its uncorrected energy is -10.29 eV per atom. The calculation puts the formation energy at -46 meV/atom.

The structure belongs to space group Cmcm (No. 63); the cell edges are 3.378, 11.961 and 11.746 Å and the angles 90.00°, 90.00° and 90.00°. The inequivalent atoms are U at (0.000, 0.132, 0.048), Pa at (0.000, 0.385, 0.250), W at (0.000, 0.351, 0.750), C at (0.000, 0.037, 0.250), C at (0.000, 0.226, 0.623) and C at (0.000, 0.500, 0.000).

---

(2)
## Ba3TlSb (PBE)

Data for a geometry-optimized Ba3TlSb structure.

Its uncorrected energy is -3.07 eV per atom. As for the energy relative to the elements, uncorrected: -0.621 eV/atom. Its offset from the most stable computed form is 0.000 eV/atom.

The structure belongs to space group P2_1/c (No. 14); the cell edges are 10.706, 9.338 and 9.690 Å and the angles 90.00°, 109.30° and 90.00°. The inequivalent atoms are Ba at (0.042, 0.009, 0.226), Ba at (0.266, 0.137, 0.601), Ba at (0.356, 0.692, 0.435), Tl at (0.419, 0.058, 0.319) and Sb at (0.094, 0.708, 0.047).

---

(3)
## ThAlPt (PBE)

Data for a geometry-optimized ThAlPt structure.

Its uncorrected energy is -6.83 eV per atom. The calculation puts the formation energy at -1097 meV/atom.

The structure belongs to space group P-62m (No. 189); the cell edges are 7.3015, 7.3015 and 4.1867 Å and the angles 90.00°, 90.00° and 120.00°. The inequivalent atoms are Th at (0.0000, 0.5804, 0.0000), Al at (0.0000, 0.2330, 0.5000), Pt at (0.0000, 0.0000, 0.0000) and Pt at (0.3333, 0.6667, 0.5000).

---

(4)
## KSi4Hg (PBE)

Data for a geometry-optimized KSi4Hg structure.

Its uncorrected energy is -3.42 eV per atom. As for the energy relative to the elements, uncorrected: 0.424 eV/atom.

The structure belongs to space group F-43m (No. 216); the cell edges are 7.784, 7.784 and 7.784 Å and the angles 90.00°, 90.00° and 90.00°. The inequivalent atoms are K at (0.000, 0.000, 0.000), Si at (0.124, 0.124, 0.624) and Hg at (0.250, 0.250, 0.250).

---

(5)
## CdFe2Ni (PBE)

Data for a geometry-optimized CdFe2Ni structure.

Its uncorrected energy is -5.62 eV per atom. The calculation puts the formation energy at 289 meV/atom.

The structure belongs to space group Cmmm (No. 65); the cell edges are 5.244, 7.853 and 2.673 Å and the angles 90.00°, 90.00° and 90.00°. The inequivalent atoms are Cd at (0.000, 0.000, 0.000), Fe at (0.250, 0.250, 0.500) and Ni at (0.000, 0.500, 0.000).

---

(6)
## PrDyZn4 (PBE)

Data for a geometry-optimized PrDyZn4 structure.

Its uncorrected energy is -2.76 eV per atom. The calculation puts the formation energy at -348 meV/atom. Its offset from the most stable computed form is 0.005 eV/atom.

The structure belongs to space group Immm (No. 71); the cell edges are 4.518, 7.260 and 7.821 Å and the angles 90.00°, 90.00° and 90.00°. The inequivalent atoms are Pr at (0.000, 0.000, 0.000), Dy at (0.000, 0.500, 0.000) and Zn at (0.000, 0.243, 0.334).

---

(7)
## ReAgOs2 (PBE)

Data for a geometry-optimized ReAgOs2 structure.

Its uncorrected energy is -9.17 eV per atom. The calculation puts the formation energy at 266 meV/atom. Its offset from the most stable computed form is 0.000 eV/atom.

The structure belongs to space group R-3m (No. 166, hexagonal axes); the cell edges are 2.7645, 2.7645 and 27.8327 Å and the angles 90.00°, 90.00° and 120.00°. The inequivalent atoms are Re at (0.0000, 0.0000, 0.0000), Ag at (0.0000, 0.0000, 0.5000) and Os at (0.0000, 0.0000, 0.2563).

---

(8)
## CaBi3Br (PBE)

Data for a geometry-optimized CaBi3Br structure.

Its uncorrected energy is -2.63 eV per atom. As for the energy relative to the elements, uncorrected: 0.430 eV/atom. Its offset from the most stable computed form is 0.159 eV/atom.

The structure belongs to space group Pm-3m (No. 221); the cell edges are 5.895, 5.895 and 5.895 Å and the angles 90.00°, 90.00° and 90.00°. The inequivalent atoms are Ca at (0.000, 0.000, 0.000), Bi at (0.000, 0.000, 0.500) and Br at (0.500, 0.500, 0.500).

---

(9)
## Ce2PaZn (PBE)

Data for a geometry-optimized Ce2PaZn structure.

Its uncorrected energy is -5.59 eV per atom. The calculation puts the formation energy at 70 meV/atom. Its offset from the most stable computed form is 0.111 eV/atom.

The structure belongs to space group P4/mmm (No. 123); the cell edges are 4.579, 4.579 and 4.525 Å and the angles 90.00°, 90.00° and 90.00°. The inequivalent atoms are Ce at (0.000, 0.500, 0.000), Pa at (0.000, 0.000, 0.500) and Zn at (0.500, 0.500, 0.500).

---

(10)
## Na2CoAg4 (PBE)

Data for a geometry-optimized Na2CoAg4 structure.

Its uncorrected energy is -2.51 eV per atom. The calculation puts the formation energy at 507 meV/atom.

The structure belongs to space group I4/mmm (No. 139); the cell edges are 4.873, 4.873 and 15.050 Å and the angles 90.00°, 90.00° and 90.00°. The inequivalent atoms are Na at (0.000, 0.000, 0.131), Co at (0.000, 0.000, 0.500), Ag at (0.000, 0.000, 0.333) and Ag at (0.000, 0.500, 0.000).

---

(11)
## CaFe2AgIr (PBE)

Data for a geometry-optimized CaFe2AgIr structure.

Its uncorrected energy is -5.50 eV per atom. The calculation puts the formation energy at 627 meV/atom. Its offset from the most stable computed form is 0.000 eV/atom.

The structure belongs to space group P4/mmm (No. 123); the cell edges are 4.687, 4.687 and 5.188 Å and the angles 90.00°, 90.00° and 90.00°. The inequivalent atoms are Ca at (0.000, 0.000, 0.000), Fe at (0.000, 0.500, 0.500), Ag at (0.500, 0.500, 0.000) and Ir at (0.500, 0.500, 0.500).

---

(12)
## BeAlCo2 (PBE)

Data for a geometry-optimized BeAlCo2 structure.

Its uncorrected energy is -5.86 eV per atom. The calculation puts the formation energy at -443 meV/atom.

The structure belongs to space group P4/mmm (No. 123); the cell edges are 2.736, 2.736 and 5.440 Å and the angles 90.00°, 90.00° and 90.00°. The inequivalent atoms are Be at (0.000, 0.000, 0.000), Al at (0.000, 0.000, 0.500) and Co at (0.500, 0.500, 0.227).

---

(13)
## Al2CdO (PBE)

Data for a geometry-optimized Al2CdO structure.

Its uncorrected energy is -4.33 eV per atom. As for the energy relative to the elements, uncorrected: -0.992 eV/atom. Its offset from the most stable computed form is 0.009 eV/atom.

The structure belongs to space group P2_1/m (No. 11); the cell edges are 4.645, 2.975 and 9.418 Å and the angles 90.00°, 95.55° and 90.00°. The inequivalent atoms are Al at (0.072, 0.250, 0.311), Al at (0.256, 0.250, 0.961), Cd at (0.419, 0.250, 0.637) and O at (0.011, 0.750, 0.892).

---

(14)
## TaSn3Au (PBE)

Data for a geometry-optimized TaSn3Au structure.

Its uncorrected energy is -4.26 eV per atom. The calculation puts the formation energy at 1170 meV/atom. Its offset from the most stable computed form is 0.594 eV/atom.

The structure belongs to space group Pm-3m (No. 221); the cell edges are 5.239, 5.239 and 5.239 Å and the angles 90.00°, 90.00° and 90.00°. The inequivalent atoms are Ta at (0.000, 0.000, 0.000), Sn at (0.000, 0.500, 0.500) and Au at (0.500, 0.500, 0.500).

---

(15)
## HfTcNF2 (PBE)

Data for a geometry-optimized HfTcNF2 structure.

Its uncorrected energy is -7.46 eV per atom. As for the energy relative to the elements, uncorrected: -0.979 eV/atom. Its offset from the most stable computed form is 0.000 eV/atom.

The structure belongs to space group P4/mmm (No. 123); the cell edges are 4.159, 4.159 and 4.231 Å and the angles 90.00°, 90.00° and 90.00°. The inequivalent atoms are Hf at (0.000, 0.000, 0.000), Tc at (0.500, 0.500, 0.500), N at (0.000, 0.000, 0.500) and F at (0.000, 0.500, 0.000).

---

(16)
## Sm5TeAs4 (PBE)

Data for a geometry-optimized Sm5TeAs4 structure.

Its uncorrected energy is -6.06 eV per atom. As for the energy relative to the elements, uncorrected: -1.528 eV/atom.

The structure belongs to space group Immm (No. 71); the cell edges are 4.245, 6.039 and 21.380 Å and the angles 90.00°, 90.00° and 90.00°. The inequivalent atoms are Sm at (0.000, 0.000, 0.000), Sm at (0.000, 0.000, 0.199), Sm at (0.000, 0.000, 0.389), Te at (0.000, 0.500, 0.000), As at (0.000, 0.500, 0.203) and As at (0.000, 0.500, 0.401).

---

(17)
## PdPtPb2 (PBE)

Data for a geometry-optimized PdPtPb2 structure.

Its uncorrected energy is -4.77 eV per atom. The calculation puts the formation energy at -105 meV/atom. Its offset from the most stable computed form is 0.044 eV/atom.

The structure belongs to space group C2 (No. 5); the cell edges are 8.563, 6.645 and 3.339 Å and the angles 90.00°, 112.46° and 90.00°. The inequivalent atoms are Pd at (0.000, 0.000, 0.000), Pt at (0.000, 0.367, 0.500) and Pb at (0.210, 0.739, 0.712).

---

(18)
## FeTcBr (PBE)

Data for a geometry-optimized FeTcBr structure.

Its uncorrected energy is -6.17 eV per atom. As for the energy relative to the elements, uncorrected: 0.667 eV/atom. Its offset from the most stable computed form is 0.093 eV/atom.

The structure belongs to space group I4mm (No. 107); the cell edges are 2.977, 2.977 and 10.852 Å and the angles 90.00°, 90.00° and 90.00°. The inequivalent atoms are Fe at (0.000, 0.000, 0.000), Tc at (0.000, 0.000, 0.368) and Br at (0.000, 0.000, 0.693).

---

(19)
## Pm2Al2Ge2C (PBE)

Data for a geometry-optimized Pm2Al2Ge2C structure.

Its uncorrected energy is -5.53 eV per atom. The calculation puts the formation energy at -468 meV/atom.

The structure belongs to space group I4/mmm (No. 139); the cell edges are 4.219, 4.219 and 15.307 Å and the angles 90.00°, 90.00° and 90.00°. The inequivalent atoms are Pm at (0.000, 0.000, 0.160), Al at (0.000, 0.500, 0.000), Ge at (0.000, 0.000, 0.372) and C at (0.000, 0.000, 0.000).

---

(20)
## VCrPbAuBr (PBE)

Data for a geometry-optimized VCrPbAuBr structure.

Its uncorrected energy is -5.40 eV per atom. As for the energy relative to the elements, uncorrected: 0.082 eV/atom. Its offset from the most stable computed form is 0.051 eV/atom.

The structure belongs to space group P1 (No. 1); the cell edges are 3.154, 3.338 and 10.053 Å and the angles 89.77°, 81.06° and 89.99°. The inequivalent atoms are V at (0.000, 0.000, 0.000), Cr at (0.442, 0.502, 0.117), Pb at (0.185, 0.005, 0.626), Au at (0.580, 0.502, 0.838) and Br at (0.847, 0.505, 0.308).